A plane-wave DFT calculation with GGA-PBEsol was carried out for an optimized crystal structure of Cu3HI. Values from VASP.

Calculated values
The total moment comes out at 0.000 μB per formula unit.

Structure (Quantum ESPRESSO input):
```
&SYSTEM
  ibrav = 0, nat = 5, ntyp = 3
/
ATOMIC_SPECIES
Cu 63.55 Cu.upf
H 1.01 H.upf
I 126.90 I.upf
CELL_PARAMETERS angstrom
4.038 0.000 0.000
0.000 4.038 0.000
0.000 0.000 4.038
ATOMIC_POSITIONS crystal
Cu 0.000 0.000 0.500
Cu 0.000 0.500 0.000
Cu 0.500 0.000 0.000
H 0.000 0.000 0.000
I 0.500 0.500 0.500
```

A plane-wave DFT calculation with GGA-PBEsol was carried out for an optimized crystal structure of AlNi. Values from VASP.

Calculated values
The total moment comes out at 0.000 μB per formula unit.

Structure (Quantum ESPRESSO input):
```
&SYSTEM
  ibrav = 0, nat = 4, ntyp = 2
/
ATOMIC_SPECIES
Al 26.98 Al.upf
Ni 58.69 Ni.upf
CELL_PARAMETERS angstrom
4.345 -1.419 0.000
4.345 1.419 0.000
-1.200 0.000 3.863
ATOMIC_POSITIONS crystal
Al 0.116 0.116 0.318
Al 0.884 0.884 0.682
Ni 0.377 0.377 0.177
Ni 0.623 0.623 0.823
```

| no. | total DFT energy (no corrections) (eV per atom) | V (A^3/atom) |
| --- | --- | --- |
| 1 | -3.099 | 13.17 |
| 2 | -5.718 | 11.91 |